# NiGePb2, optimized geometry, DFT GGA-PBE
data_NiGePb2
_cell_length_a 7.145
_cell_length_b 7.145
_cell_length_c 7.145
_cell_angle_alpha 90.00
_cell_angle_beta 90.00
_cell_angle_gamma 90.00
_space_group_name_H-M_alt 'F -4 3 m'
_space_group_IT_number 216
_space_group_name_Hall 'F -4 2 3'
loop_
_atom_site_label
_atom_site_fract_x
_atom_site_fract_y
_atom_site_fract_z
_atom_site_occupancy
Ni1 0.000 0.000 0.000 1
Ge1 0.250 0.250 0.250 1
Pb1 0.000 0.000 0.500 1
Pb2 0.250 0.250 0.750 1
# Total magnetization, μB per cell: 0.00
# DFT total energy, eV per atom: -3.950

---

# NiGePb, optimized geometry, DFT GGA-PBE
data_NiGePb
_cell_length_a 6.499
_cell_length_b 6.499
_cell_length_c 6.499
_cell_angle_alpha 90.00
_cell_angle_beta 90.00
_cell_angle_gamma 90.00
_space_group_name_H-M_alt 'F -4 3 m'
_space_group_IT_number 216
_space_group_name_Hall 'F -4 2 3'
loop_
_atom_site_label
_atom_site_fract_x
_atom_site_fract_y
_atom_site_fract_z
_atom_site_occupancy
Ni1 0.000 0.000 0.000 1
Ge1 0.000 0.000 0.500 1
Pb1 0.250 0.250 0.250 1
# Total magnetization, μB per cell: 0.05
# DFT total energy, eV per atom: -3.999

---

# NiGePb, optimized geometry, DFT GGA-PBE
data_NiGePb
_cell_length_a 6.128
_cell_length_b 6.128
_cell_length_c 6.128
_cell_angle_alpha 90.00
_cell_angle_beta 90.00
_cell_angle_gamma 90.00
_space_group_name_H-M_alt 'F -4 3 m'
_space_group_IT_number 216
_space_group_name_Hall 'F -4 2 3'
loop_
_atom_site_label
_atom_site_fract_x
_atom_site_fract_y
_atom_site_fract_z
_atom_site_occupancy
Ni1 0.000 0.000 0.000 1
Ge1 0.250 0.250 0.750 1
Pb1 0.250 0.250 0.250 1
# Total magnetization, μB per cell: 0.01
# DFT total energy, eV per atom: -4.548

---

# Zr2Ni2GePb, optimized geometry, DFT GGA-PBE
data_Zr2Ni2GePb
_cell_length_a 10.309
_cell_length_b 3.900
_cell_length_c 11.383
_cell_angle_alpha 90.00
_cell_angle_beta 106.77
_cell_angle_gamma 90.00
_space_group_name_H-M_alt 'P 1 m 1'
_space_group_IT_number 6
loop_
_space_group_symop_operation_xyz
'x,y,z'
'x,-y,z'
loop_
_atom_site_label
_atom_site_fract_x
_atom_site_fract_y
_atom_site_fract_z
_atom_site_occupancy
Zr1 0.000 0.000 0.000 1
Zr2 0.021 0.500 0.255 1
Zr3 0.226 0.000 0.477 1
Zr4 0.285 0.500 0.086 1
Zr5 0.497 0.000 0.320 1
Zr6 0.536 0.500 0.915 1
Zr7 0.751 0.000 0.162 1
Zr8 0.784 0.500 0.748 1
Ni1 0.070 0.500 0.517 1
Ni2 0.243 0.000 0.897 1
Ni3 0.311 0.500 0.339 1
Ni4 0.541 0.000 0.716 1
Ni5 0.569 0.500 0.175 1
Ni6 0.696 0.000 0.554 1
Ni7 0.814 0.500 0.031 1
Ni8 0.948 0.000 0.384 1
Ge1 0.079 0.500 0.864 1
Ge2 0.205 0.000 0.225 1
Ge3 0.464 0.000 0.059 1
Ge4 0.724 0.000 0.900 1
Pb1 0.287 0.500 0.715 1
Pb2 0.504 0.500 0.550 1
Pb3 0.764 0.500 0.401 1
Pb4 0.974 0.000 0.644 1
# Total magnetization, μB per cell: 0.03
# DFT total energy, eV per atom: -6.484

---

# NiGePd, optimized geometry, DFT GGA-PBE
data_NiGePd
_cell_length_a 6.3540
_cell_length_b 6.3540
_cell_length_c 3.5460
_cell_angle_alpha 90.00
_cell_angle_beta 90.00
_cell_angle_gamma 120.00
_space_group_name_H-M_alt 'P -6 2 m'
_space_group_IT_number 189
_space_group_name_Hall 'P -6 -2'
loop_
_atom_site_label
_atom_site_fract_x
_atom_site_fract_y
_atom_site_fract_z
_atom_site_occupancy
Ni1 0.0000 0.2553 0.0000 1
Ge1 0.0000 0.0000 0.5000 1
Ge2 0.3333 0.6667 0.0000 1
Pd1 0.0000 0.5999 0.5000 1
# Total magnetization, μB per cell: 0.01
# DFT total energy, eV per atom: -5.558

---

# Ni2GePd, optimized geometry, DFT GGA-PBE
data_Ni2GePd
_cell_length_a 5.898
_cell_length_b 5.898
_cell_length_c 5.898
_cell_angle_alpha 90.00
_cell_angle_beta 90.00
_cell_angle_gamma 90.00
_space_group_name_H-M_alt 'F -4 3 m'
_space_group_IT_number 216
_space_group_name_Hall 'F -4 2 3'
loop_
_atom_site_label
_atom_site_fract_x
_atom_site_fract_y
_atom_site_fract_z
_atom_site_occupancy
Ni1 0.000 0.000 0.000 1
Ni2 0.250 0.250 0.250 1
Ge1 0.000 0.000 0.500 1
Pd1 0.250 0.250 0.750 1
# Total magnetization, μB per cell: 0.04
# DFT total energy, eV per atom: -5.433

---

# Ni3Ge4Pd, optimized geometry, DFT GGA-PBE
data_Ni3Ge4Pd
_cell_length_a 5.617
_cell_length_b 3.405
_cell_length_c 6.043
_cell_angle_alpha 90.00
_cell_angle_beta 90.30
_cell_angle_gamma 90.00
_space_group_name_H-M_alt 'P 1 m 1'
_space_group_IT_number 6
loop_
_space_group_symop_operation_xyz
'x,y,z'
'x,-y,z'
loop_
_atom_site_label
_atom_site_fract_x
_atom_site_fract_y
_atom_site_fract_z
_atom_site_occupancy
Ni1 0.000 0.000 0.000 1
Ni2 0.012 0.500 0.622 1
Ni3 0.501 0.500 0.508 1
Ge1 0.176 0.500 0.241 1
Ge2 0.306 0.000 0.726 1
Ge3 0.704 0.500 0.879 1
Ge4 0.813 0.000 0.408 1
Pd1 0.498 0.000 0.124 1
# Total magnetization, μB per cell: 0.00
# DFT total energy, eV per atom: -5.380

---

# NiGePd, optimized geometry, DFT GGA-PBE
data_NiGePd
_cell_length_a 6.8930
_cell_length_b 6.8930
_cell_length_c 3.0366
_cell_angle_alpha 90.00
_cell_angle_beta 90.00
_cell_angle_gamma 120.00
_space_group_name_H-M_alt 'P -6 2 m'
_space_group_IT_number 189
_space_group_name_Hall 'P -6 -2'
loop_
_atom_site_label
_atom_site_fract_x
_atom_site_fract_y
_atom_site_fract_z
_atom_site_occupancy
Ni1 0.0000 0.6229 0.0000 1
Ge1 0.0000 0.0000 0.0000 1
Ge2 0.3333 0.6667 0.5000 1
Pd1 0.0000 0.2895 0.5000 1
# Total magnetization, μB per cell: 0.00
# DFT total energy, eV per atom: -5.462